1.
# HfTi2N2

An optimized crystal structure of HfTi2N2 (GGA-PBE, Alexandria via LeMat-Bulk).

a b c (Å): 3.1302 4.1306 9.6372
angles (deg): 90.00 90.00 90.00
With the nearest neighbours (Å) after each atom.
Space group Immm (No. 71)
Unique sites:
1 Hf 0.0000 0.0000 0.0000 (multiplicity 2)  4 N 2.23
2 Ti 0.0000 0.0000 0.3109 (multiplicity 4)  4 N 2.08-2.11
3 N 0.0000 0.5000 0.3354 (multiplicity 4)  4 Ti 2.08-2.11, 2 Hf 2.23

The value obtained for the uncorrected formation energy is -1.5340 eV per atom. The calculation puts the energy above the most stable polymorph in this dataset at 0 meV/atom.

---

2.
# MgZn2Sb

An optimized crystal structure of MgZn2Sb (GGA-PBE, Alexandria via LeMat-Bulk).

a b c (Å): 8.7596 3.3026 5.8438
angles (deg): 90.00 99.67 90.00
With the nearest neighbours (Å) after each atom.
Space group Cm (No. 8)
Unique sites:
1 Mg 0.0000 0.0000 0.0000 (multiplicity 2)  5 Zn 2.87-2.93, 3 Sb 2.97-3.04
2 Zn 0.2471 0.5000 0.2577 (multiplicity 2)  3 Zn 2.59-2.65, 1 Mg 2.88
3 Zn 0.4817 0.0000 0.3962 (multiplicity 2)  3 Zn 2.59-2.65, 2 Mg 2.87
4 Sb 0.2479 0.0000 0.7103 (multiplicity 2)  3 Mg 2.97-3.04, 5 Zn 2.97-3.18, 2 Sb 3.30

The value obtained for the uncorrected formation energy is -0.0099 eV per atom.

---

3.
# FeCo2

An optimized crystal structure of FeCo2 (GGA-PBE, Alexandria via LeMat-Bulk).

a b c (Å): 3.9999 3.9999 4.8990
angles (deg): 90.00 90.00 120.00
With the nearest neighbours (Å) after each atom.
Space group P-3m1 (No. 164)
Unique sites:
1 Fe 0.3333 0.6667 0.1732 (multiplicity 2)  8 Co 2.43-2.46
2 Co 0.0000 0.0000 0.0000 (multiplicity 1)  2 Co 2.45, 6 Fe 2.46
3 Co 0.0000 0.0000 0.5000 (multiplicity 1)  8 Co 2.45-2.46
4 Co 0.3333 0.6667 0.6728 (multiplicity 2)  5 Fe 2.43-2.45, 3 Co 2.46

The value obtained for the formation energy from the elements is 0.001 eV/atom.

---

4.
# ThScMo4

An optimized crystal structure of ThScMo4 (GGA-PBE, Alexandria via LeMat-Bulk).

a b c (Å): 7.7774 7.7774 7.7774
angles (deg): 90.00 90.00 90.00
With the nearest neighbours (Å) after each atom.
Space group F-43m (No. 216)
Unique sites:
1 Th 0.0000 0.0000 0.0000 (multiplicity 4)  12 Mo 3.22, 4 Sc 3.37
2 Sc 0.2500 0.2500 0.2500 (multiplicity 4)  12 Mo 3.22, 4 Th 3.37
3 Mo 0.1250 0.1250 0.6250 (multiplicity 16)  6 Mo 2.75

The value obtained for the formation energy from the elements is 0.058 eV/atom.

---

5.
# BaGe2Pt

An optimized crystal structure of BaGe2Pt (GGA-PBE, Alexandria via LeMat-Bulk).

a b c (Å): 4.3070 4.3070 18.1445
angles (deg): 90.00 90.00 120.00
With the nearest neighbours (Å) after each atom.
Space group R-3m (No. 166, hexagonal axes)
Unique sites:
1 Ba 0.0000 0.0000 0.0000 (multiplicity 3)  6 Ge 3.33
2 Ge 0.0000 0.0000 0.2110 (multiplicity 6)  3 Pt 2.61
3 Pt 0.0000 0.0000 0.5000 (multiplicity 3)  6 Ge 2.61

The value obtained for the formation energy from the elements is -0.696 eV/atom.

---

6.
# Pm5Nd2HoSc

An optimized crystal structure of Pm5Nd2HoSc (GGA-PBE, Alexandria via LeMat-Bulk).

a b c (Å): 8.4589 8.4589 16.8745
angles (deg): 90.00 90.00 90.00
With the nearest neighbours (Å) after each atom.
Space group I4/mcm (No. 140)
Unique sites:
1 Pm 0.0000 0.0000 0.0000 (multiplicity 4)  4 Nd 3.35
2 Pm 0.2173 0.2827 0.1458 (multiplicity 16)  1 Nd 3.10, 1 Sc 3.14
3 Nd 0.1243 0.3757 0.5000 (multiplicity 8)  1 Nd 2.97, 2 Pm 3.10
4 Ho 0.0000 0.0000 0.2500 (multiplicity 4)  8 Pm 3.49
5 Sc 0.0000 0.5000 0.2500 (multiplicity 4)  4 Pm 3.14

The value obtained for the formation energy from the elements is 0.278 eV/atom.